## Rb2SrAl2 (PBE-GGA)

Data for a geometry-optimized Rb2SrAl2 structure.

Lattice parameters (Å, degrees): 10.2087 10.2087 3.8417 90.00 90.00 90.00
Atoms (fractional coordinates):
Rb1 0.1226 0.3774 0.0000
Rb2 0.3774 0.8774 0.0000
Rb3 0.6226 0.1226 0.0000
Rb4 0.8774 0.6226 0.0000
Sr1 0.0000 0.0000 0.0000
Sr2 0.5000 0.5000 0.0000
Al1 0.1806 0.6806 0.5000
Al2 0.3194 0.1806 0.5000
Al3 0.6806 0.8194 0.5000
Al4 0.8194 0.3194 0.5000

Output
Crystal system: tetragonal
ΔE_f, eV per atom: 0.508
Total DFT energy (no corrections), eV/atom: -1.713
Energy above the lowest structure with this stoichiometry, eV/atom: 0.000